# 1
10
Lattice="4.0631 -2.5500 0.0000 4.0631 2.5500 0.0000 -3.9684 0.0000 6.5388" Properties=species:S:1:pos:R:3 comment="Li2SiPt2 PBE relaxed" formation_energy_uncorrected_mev_per_atom=-720 space_group="C2/c (15)" relative_energy_mev_per_atom=0 energy_ev_per_cell=-49.87 pbc="T T T"
Li 1.0709 1.8981 3.5594
Li 1.1027 1.8981 6.2488
Li 3.0551 -1.8981 0.2900
Li 3.0869 -1.8981 2.9794
Si 3.0710 0.6509 1.6347
Si 1.0868 -0.6509 4.9041
Pt -0.9335 0.6354 5.6637
Pt 1.0507 -0.6354 2.3943
Pt 3.1071 0.6354 4.1445
Pt 5.0913 -0.6354 0.8751



# 2
6
Lattice="5.3178 0.0000 0.0000 -2.6589 4.6053 0.0000 0.0000 0.0000 6.7285" Properties=species:S:1:pos:R:3 comment="CaTbAl PBE relaxed" space_group="P6_3/mmc (194)" relative_energy_mev_per_atom=0 energy_ev_per_cell=-22.17 formation_energy_ev_per_atom=-0.24 pbc="T T T"
Ca 0.0000 0.0000 0.0000
Ca 0.0000 0.0000 3.3643
Tb 0.0000 3.0702 1.6821
Tb 2.6589 1.5351 5.0464
Al 0.0000 3.0702 5.0464
Al 2.6589 1.5351 1.6821



# 3
12
Lattice="7.7244 -2.1934 0.0000 7.7244 2.1934 0.0000 -7.0782 0.0000 8.5760" Properties=species:S:1:pos:R:3 comment="Pm5Ge5Au2 PBE relaxed" space_group="C2/m (12)" energy_ev_per_cell=-62.52 formation_energy_ev_per_atom=-0.76 pbc="T T T"
Pm 0.0000 0.0000 0.0000
Pm -1.3235 0.0000 3.5861
Pm -2.8193 0.0000 7.0880
Pm 11.1899 0.0000 1.4880
Pm 9.6942 0.0000 4.9900
Ge 1.7690 0.0000 2.7995
Ge 5.6408 0.0000 1.2748
Ge 4.1853 0.0000 4.2880
Ge 2.7298 0.0000 7.3012
Ge 6.6016 0.0000 5.7765
Au 0.2267 0.0000 6.4272
Au 8.1439 0.0000 2.1488



# 4
20
Lattice="6.6325 -4.1211 0.0000 6.6325 4.1211 0.0000 -0.2353 0.0000 6.3537" Properties=species:S:1:pos:R:3 comment="Nb3ReTc PBE relaxed" space_group="C2/c (15)" relative_energy_mev_per_atom=0 energy_ev_per_cell=-209.48 formation_energy_ev_per_atom=0.13 pbc="T T T"
Nb 2.0625 0.8222 0.3763
Nb 5.6886 2.0996 3.7130
Nb 1.9449 -0.8222 3.5531
Nb 4.3676 0.3404 5.9175
Nb 7.2234 2.0996 5.8175
Nb 4.4853 -0.3404 2.7406
Nb 8.5444 0.3404 3.6130
Nb 5.8062 -2.0996 0.5362
Nb 8.6620 -0.3404 0.4362
Nb 11.0848 0.8222 2.8005
Nb 7.3411 -2.0996 2.6406
Nb 10.9672 -0.8222 5.9774
Re 3.7235 2.3324 2.0237
Re 9.4238 2.3324 1.1531
Re 3.6059 -2.3324 5.2005
Re 9.3061 -2.3324 4.3300
Tc 6.5736 3.5911 1.5884
Tc 6.5736 0.7148 1.5884
Tc 6.4560 -0.7148 4.7652
Tc 6.4560 -3.5911 4.7652



What density values result from the calculations? In sequence: 10.6, 4.6, 8.5, 10.8 g/cm³.